No. 1
Here is an optimized crystal structure of TbPaHgGe from Alexandria. Energies are from PBE.

a = 5.170 Å, b = 5.170 Å, c = 5.170 Å
α = 60.00°, β = 60.00°, γ = 60.00°
Fractional positions:
Tb 0.000 0.000 0.000
Ge 0.250 0.250 0.250
Pa 0.500 0.500 0.500
Hg 0.750 0.750 0.750

Values from the calculation:
Spin magnetization: 1.5 μB/cell
DFT formation energy: -0.218 eV per atom
E_tot: -19.9 eV for the cell shown


No. 2
Here is an optimized crystal structure of ThPaHgGe from Alexandria. Energies are from PBE.

a = 5.242 Å, b = 5.242 Å, c = 5.242 Å
α = 60.00°, β = 60.00°, γ = 60.00°
Fractional positions:
Th 0.500 0.500 0.500
Hg 0.750 0.750 0.750
Pa 0.000 0.000 0.000
Ge 0.250 0.250 0.250

Values from the calculation:
Spin magnetization: 1.9 μB/cell
DFT formation energy: -0.126 eV per atom
E_tot: -22.3 eV for the cell shown


No. 3
Here is an optimized crystal structure of TmPaHgGe from Alexandria. Energies are from PBE.

a = 5.130 Å, b = 5.130 Å, c = 5.130 Å
α = 60.00°, β = 60.00°, γ = 60.00°
Fractional positions:
Hg 0.250 0.250 0.250
Tm 0.500 0.500 0.500
Pa 0.000 0.000 0.000
Ge 0.750 0.750 0.750

Values from the calculation:
Spin magnetization: 1.2 μB/cell
DFT formation energy: -0.214 eV per atom
E_tot: -19.7 eV for the cell shown